Th5Ga2Sb2: optimized geometry, PBE.

Cell: 8.196 8.193 8.817 Å, 90.00 62.30 90.00°
Sites, in units of the cell vectors:
Th1 0.000 0.000 0.000
Th2 0.500 0.500 0.000
Th3 0.454 0.176 0.740
Th4 0.806 0.824 0.740
Th5 0.306 0.676 0.740
Th6 0.954 0.324 0.740
Th7 0.546 0.824 0.260
Th8 0.194 0.176 0.260
Th9 0.694 0.324 0.260
Th10 0.046 0.676 0.260
Ga1 0.117 0.381 0.000
Ga2 0.883 0.619 0.000
Ga3 0.383 0.881 0.000
Ga4 0.617 0.119 0.000
Sb1 0.208 0.000 0.584
Sb2 0.708 0.500 0.584
Sb3 0.792 0.000 0.416
Sb4 0.292 0.500 0.416

Values from the calculation:
Energy relative to the elements, uncorrected ... -14.650 kcal/mol of atoms
Calculated volume ... 29.122 Å³/atom
Calculated total energy ... -6.346 eV per atom
Space group ... No. 64
Magnetic moment ... 0.00 μB per cell